No. 1
Material: ErNp2UN4
Method: DFT, PBE-GGA
State: relaxed

Calculated values
E_form (uncorrected): -1.316 eV/atom
total magnetic moment: 7.84 Bohr magnetons per cell

Unit cell a=5.960 b=3.433 c=5.961 alpha=90.00 beta=109.32 gamma=90.00
Fractional coordinates of all 8 atoms:
Er (0.000, 0.000, 0.000)
Np (0.500, 0.000, 0.500)
Np (0.500, 0.500, 0.000)
U (0.000, 0.500, 0.500)
N (0.241, 0.000, 0.745)
N (0.247, 0.500, 0.255)
N (0.753, 0.500, 0.745)
N (0.759, 0.000, 0.255)

No. 2
Material: RbLi2As2
Method: DFT, PBE-GGA
State: relaxed

Calculated values
ΔE_f: -0.38 eV per atom
distance to the lowest polymorph of the same formula: 104 meV per atom
total magnetic moment: 0.00 Bohr magnetons per cell

Unit cell a=8.554 b=8.554 c=2.897 alpha=90.00 beta=90.00 gamma=90.00
Fractional coordinates of all 10 atoms:
Rb (0.000, 0.000, 0.000)
Rb (0.500, 0.500, 0.000)
Li (0.123, 0.377, 0.000)
Li (0.377, 0.877, 0.000)
Li (0.623, 0.123, 0.000)
Li (0.877, 0.623, 0.000)
As (0.157, 0.657, 0.500)
As (0.343, 0.157, 0.500)
As (0.657, 0.843, 0.500)
As (0.843, 0.343, 0.500)

No. 3
Material: AlOs2Pb
Method: DFT, PBE-GGA
State: relaxed

Calculated values
ΔE_f: 0.70 eV per atom
distance to the lowest polymorph of the same formula: 405 meV per atom
total magnetic moment: 0.00 Bohr magnetons per cell

Unit cell a=5.076 b=5.076 c=5.076 alpha=134.12 beta=134.12 gamma=66.90
Fractional coordinates of all 4 atoms:
Al (0.000, 0.000, 0.000)
Os (0.250, 0.750, 0.500)
Os (0.500, 0.500, 0.000)
Pb (0.750, 0.250, 0.500)

No. 4
Material: Zr3ScN
Method: DFT, PBE-GGA
State: relaxed

Calculated values
distance to the lowest polymorph of the same formula: 2805 meV per atom
E_form (uncorrected): 2.111 eV/atom
total magnetic moment: 0.00 Bohr magnetons per cell

Unit cell a=4.966 b=4.966 c=4.966 alpha=90.00 beta=90.00 gamma=90.00
Fractional coordinates of all 5 atoms:
Zr (0.000, 0.000, 0.500)
Zr (0.000, 0.500, 0.000)
Zr (0.500, 0.000, 0.000)
Sc (0.000, 0.000, 0.000)
N (0.500, 0.500, 0.500)

No. 5
Material: Fe3Co4Ni2
Method: DFT, PBE-GGA
State: relaxed

Calculated values
ΔE_f: 0.16 eV per atom
total magnetic moment: 31.74 Bohr magnetons per cell

Unit cell a=4.902 b=10.966 c=3.964 alpha=90.00 beta=90.00 gamma=90.00
Fractional coordinates of all 18 atoms:
Fe (0.000, 0.000, 0.000)
Fe (0.092, 0.334, 0.500)
Fe (0.408, 0.834, 0.000)
Fe (0.500, 0.500, 0.500)
Fe (0.592, 0.166, 0.000)
Fe (0.908, 0.666, 0.500)
Co (0.103, 0.206, 0.000)
Co (0.139, 0.890, 0.500)
Co (0.361, 0.390, 0.000)
Co (0.397, 0.706, 0.500)
Co (0.603, 0.294, 0.500)
Co (0.639, 0.610, 0.000)
Co (0.861, 0.110, 0.500)
Co (0.897, 0.794, 0.000)
Ni (0.154, 0.590, 0.000)
Ni (0.346, 0.090, 0.500)
Ni (0.654, 0.910, 0.500)
Ni (0.846, 0.410, 0.000)

No. 6
Material: Tb2EuY
Method: DFT, PBE-GGA
State: relaxed

Calculated values
ΔE_f: 0.06 eV per atom
distance to the lowest polymorph of the same formula: 2 meV per atom
total magnetic moment: 7.40 Bohr magnetons per cell

Unit cell a=3.618 b=3.618 c=10.350 alpha=90.00 beta=90.00 gamma=90.00
Fractional coordinates of all 4 atoms:
Tb (0.000, 0.000, 0.236)
Tb (0.000, 0.000, 0.764)
Eu (0.500, 0.500, 0.500)
Y (0.500, 0.500, 0.000)

No. 7
Material: RbLiTl2Ir
Method: DFT, PBE-GGA
State: relaxed

Calculated values
ΔE_f: -0.01 eV per atom
total magnetic moment: 0.00 Bohr magnetons per cell

Unit cell a=5.321 b=5.321 c=5.223 alpha=90.00 beta=90.00 gamma=90.00
Fractional coordinates of all 5 atoms:
Rb (0.000, 0.000, 0.000)
Li (0.500, 0.500, 0.000)
Tl (0.000, 0.500, 0.500)
Tl (0.500, 0.000, 0.500)
Ir (0.500, 0.500, 0.500)

No. 8
Material: Gd2MgPa
Method: DFT, PBE-GGA
State: relaxed

Calculated values
ΔE_f: 0.32 eV per atom
distance to the lowest polymorph of the same formula: 265 meV per atom
total magnetic moment: 17.27 Bohr magnetons per cell

Unit cell a=5.451 b=5.451 c=5.451 alpha=60.00 beta=60.00 gamma=60.00
Fractional coordinates of all 4 atoms:
Gd (0.250, 0.250, 0.250)
Gd (0.750, 0.750, 0.750)
Mg (0.000, 0.000, 0.000)
Pa (0.500, 0.500, 0.500)

No. 9
Material: Mg4CuRh
Method: DFT, PBE-GGA
State: relaxed

Calculated values
ΔE_f: -0.25 eV per atom
distance to the lowest polymorph of the same formula: 0 meV per atom
total magnetic moment: 0.00 Bohr magnetons per cell

Unit cell a=3.237 b=3.237 c=10.005 alpha=90.00 beta=90.00 gamma=90.00
Fractional coordinates of all 6 atoms:
Mg (0.000, 0.000, 0.143)
Mg (0.000, 0.000, 0.857)
Mg (0.500, 0.500, 0.351)
Mg (0.500, 0.500, 0.649)
Cu (0.000, 0.000, 0.500)
Rh (0.500, 0.500, 0.000)

No. 10
Material: MgTiN
Method: DFT, PBE-GGA
State: relaxed

Calculated values
distance to the lowest polymorph of the same formula: 57 meV per atom
E_form (uncorrected): -0.891 eV/atom
total magnetic moment: 0.00 Bohr magnetons per cell

Unit cell a=3.457 b=4.215 c=6.106 alpha=90.00 beta=90.00 gamma=90.00
Fractional coordinates of all 6 atoms:
Mg (0.250, 0.250, 0.067)
Mg (0.750, 0.750, 0.933)
Ti (0.250, 0.750, 0.423)
Ti (0.750, 0.250, 0.577)
N (0.250, 0.250, 0.407)
N (0.750, 0.750, 0.593)

No. 11
Material: LaTcCl2
Method: DFT, PBE-GGA
State: relaxed

Calculated values
distance to the lowest polymorph of the same formula: 694 meV per atom
E_form (uncorrected): -0.066 eV/atom
total magnetic moment: 3.96 Bohr magnetons per cell

Unit cell a=5.097 b=5.097 c=5.097 alpha=60.00 beta=60.00 gamma=60.00
Fractional coordinates of all 4 atoms:
La (0.000, 0.000, 0.000)
Tc (0.750, 0.750, 0.750)
Cl (0.250, 0.250, 0.250)
Cl (0.500, 0.500, 0.500)

No. 12
Material: Zr2CrTcB
Method: DFT, PBE-GGA
State: relaxed

Calculated values
ΔE_f: 1.45 eV per atom
total magnetic moment: 0.00 Bohr magnetons per cell

Unit cell a=5.014 b=5.014 c=4.257 alpha=90.00 beta=90.00 gamma=90.00
Fractional coordinates of all 5 atoms:
Zr (0.000, 0.500, 0.000)
Zr (0.500, 0.000, 0.000)
Cr (0.000, 0.000, 0.500)
Tc (0.000, 0.000, 0.000)
B (0.500, 0.500, 0.500)

> Which value of total magnetic moment does entry 6 give?

7.40 Bohr magnetons per cell